[1]
Compound: BeCuMo
Source: Alexandria
Functional: GGA-PBE
Structure: optimized geometry

a b c (Å): 2.649 2.649 21.075
angles (deg): 90.00 90.00 90.00
Fractional coordinates of all 12 atoms:
1 Be 0.000 0.000 0.143
2 Be 0.000 0.000 0.857
3 Be 0.500 0.500 0.357
4 Be 0.500 0.500 0.643
5 Cu 0.000 0.000 0.291
6 Cu 0.000 0.000 0.709
7 Cu 0.500 0.500 0.209
8 Cu 0.500 0.500 0.791
9 Mo 0.000 0.000 0.438
10 Mo 0.000 0.000 0.562
11 Mo 0.500 0.500 0.062
12 Mo 0.500 0.500 0.938

Summary:
- polymorph energy (0 for the lowest one) (kJ/mol of atoms) = 13.3
- ΔE_f (eV/atom) = 0.161

[2]
Compound: CaTlBiN2
Source: Alexandria
Functional: GGA-PBE
Structure: optimized geometry

a b c (Å): 4.587 4.587 6.059
angles (deg): 90.00 90.00 90.00
Fractional coordinates of all 5 atoms:
1 Ca 0.000 0.000 0.000
2 Tl 0.500 0.500 0.500
3 Bi 0.500 0.500 0.000
4 N 0.000 0.500 0.500
5 N 0.500 0.000 0.500

Summary:
- ΔE_f (raw) (eV/atom) = 1.34

[3]
Compound: KMnRe2
Source: Alexandria
Functional: GGA-PBE
Structure: optimized geometry

a b c (Å): 3.767 3.767 10.118
angles (deg): 90.00 90.00 90.00
Fractional coordinates of all 8 atoms:
1 K 0.000 0.000 0.000
2 K 0.500 0.500 0.500
3 Mn 0.000 0.000 0.500
4 Mn 0.500 0.500 0.000
5 Re 0.000 0.500 0.250
6 Re 0.000 0.500 0.750
7 Re 0.500 0.000 0.250
8 Re 0.500 0.000 0.750

Summary:
- polymorph energy (0 for the lowest one) (kJ/mol of atoms) = 80.6
- ΔE_f (eV/atom) = 1.599

[4]
Compound: CeMgMnZn
Source: Alexandria
Functional: GGA-PBE
Structure: optimized geometry

a b c (Å): 6.897 6.897 6.897
angles (deg): 90.00 90.00 90.00
Fractional coordinates of all 16 atoms:
1 Ce 0.000 0.000 0.000
2 Ce 0.000 0.500 0.500
3 Ce 0.500 0.000 0.500
4 Ce 0.500 0.500 0.000
5 Mg 0.000 0.000 0.500
6 Mg 0.000 0.500 0.000
7 Mg 0.500 0.000 0.000
8 Mg 0.500 0.500 0.500
9 Mn 0.250 0.250 0.750
10 Mn 0.250 0.750 0.250
11 Mn 0.750 0.250 0.250
12 Mn 0.750 0.750 0.750
13 Zn 0.250 0.250 0.250
14 Zn 0.250 0.750 0.750
15 Zn 0.750 0.250 0.750
16 Zn 0.750 0.750 0.250

Summary:
- ΔE_f (eV/atom) = 0.075

[5]
Compound: Li4Hg5Pb2
Source: Alexandria
Functional: GGA-PBE
Structure: optimized geometry

a b c (Å): 3.428 7.444 10.210
angles (deg): 97.92 98.34 90.28
Fractional coordinates of all 11 atoms:
1 Li 0.043 0.294 0.104
2 Li 0.289 0.199 0.561
3 Li 0.711 0.801 0.439
4 Li 0.957 0.706 0.896
5 Hg 0.149 0.024 0.298
6 Hg 0.185 0.453 0.370
7 Hg 0.500 0.000 0.000
8 Hg 0.815 0.547 0.630
9 Hg 0.851 0.976 0.702
10 Pb 0.432 0.354 0.860
11 Pb 0.568 0.646 0.140

Summary:
- ΔE_f (eV/atom) = -0.192

[6]
Compound: CoCuGe3
Source: Alexandria
Functional: GGA-PBE
Structure: optimized geometry

a b c (Å): 4.523 4.523 4.523
angles (deg): 90.00 90.00 90.00
Fractional coordinates of all 5 atoms:
1 Co 0.000 0.000 0.000
2 Cu 0.500 0.500 0.500
3 Ge 0.000 0.000 0.500
4 Ge 0.000 0.500 0.000
5 Ge 0.500 0.000 0.000

Summary:
- polymorph energy (0 for the lowest one) (kJ/mol of atoms) = 0.0
- ΔE_f (eV/atom) = 0.386

| no. | E (eV per atom) | V (A^3/atom) |
| --- | --- | --- |
| 1 | -6.06 | 12.3 |
| 2 | -3.64 | 25.5 |
| 3 | -7.19 | 18.0 |
| 4 | -4.42 | 20.5 |
| 5 | -1.70 | 23.2 |
| 6 | -4.62 | 18.5 |